1.
Ce2ZrGe2 | PBE | optimized geometry

Lattice parameters (Å, degrees): 4.2110 6.2554 9.0490 90.00 90.00 90.00
Closest atoms and distances in Å follow each position.
Space group Immm (No. 71)
Symmetry-distinct sites (fractional):
Ce 0.0000 0.0000 0.2131 x4  6 Ge 3.14-3.17, 2 Zr 3.34
Zr 0.0000 0.5000 0.0000 x2  4 Ge 2.79
Ge 0.0000 0.2915 0.5000 x4  1 Ge 2.61, 2 Zr 2.79

Results
Density in Mg/m³: 7.20
Raw total energy in eV/cell: -65.60
Crystal system: orthorhombic

=====

2.
Ce5H | PBE | optimized geometry

Lattice parameters (Å, degrees): 5.4932 15.2621 3.2069 90.00 90.00 90.00
Closest atoms and distances in Å follow each position.
Space group Cmmm (No. 65)
Symmetry-distinct sites (fractional):
Ce 0.0000 0.0000 0.0000 x2  4 H 3.18, 10 Ce 3.21-3.37
Ce 0.0000 0.1941 0.5000 x4  12 Ce 3.21-3.44
Ce 0.0000 0.3915 0.0000 x4  2 H 2.31
H 0.0000 0.5000 0.5000 x2  4 Ce 2.31

Results
Density in Mg/m³: 8.67
Raw total energy in eV/cell: -65.53
Crystal system: orthorhombic

=====

Question: Which formula does entry 1 have?
Answer: Ce2ZrGe2